InPRh2Se | PBE | optimized geometry

Calculated total energy ... -25.46 eV for the cell shown
Formation energy (no corrections) ... 4.1 kcal/mol of atoms
Total magnetization ... 0.00 Bohr magnetons per cell
Symmetry ... P4/mmm, No. 123

a = 4.426 Å, b = 4.426 Å, c = 5.052 Å
α = 90.00°, β = 90.00°, γ = 90.00°
Sites, in units of the cell vectors:
In 0.000 0.000 0.000
P 0.500 0.500 0.500
Rh 0.000 0.500 0.500
Rh 0.500 0.000 0.500
Se 0.500 0.500 0.000